Material: CePmSnRh
Method: DFT, PBE
State: relaxed

Cell lengths 5.231, 5.231, 5.231 Å; angles 60.00, 60.00, 60.00 degrees
Fractional positions:
Pm: 0.250 0.250 0.250
Sn: 0.500 0.500 0.500
Rh: 0.000 0.000 0.000
Ce: 0.750 0.750 0.750

## Properties
Formation energy in eV per atom: -0.504
SG: F-43m, No. 216